Computed, not measured: crystalline TlAgF3 at its relaxed geometry at the GGA-PBEsol level of DFT.

Its formation energy (no corrections) is -1.41 eV per atom. The value obtained for the energy above the most stable polymorph in this dataset is 16.5 meV per atom. The value obtained for the magnetization is 0.0 μB/f.u. As for the total DFT energy (no corrections): -3.760 eV/atom.

It has space group Pm-3m (No. 221), with a = 4.319 Å, b = 4.319 Å, c = 4.319 Å, α = 90.00°, β = 90.00° and γ = 90.00°. The distinct sites, in fractional coordinates, are Tl at (0.000, 0.000, 0.000), Ag at (0.500, 0.500, 0.500) and F at (0.000, 0.500, 0.500).